Record 1
Density functional theory data (meta-GGA SCAN) for a crystal of AlFe4Te relaxed with PBEsol.

a b c (Å): 4.7946 4.7946 4.7946
angles (deg): 60.00 60.00 60.00
Positions (direct):
Al 0.0000 0.0000 0.0000
Fe 0.3743 0.3743 0.3743
Fe 0.3743 0.3743 0.8772
Fe 0.3743 0.8772 0.3743
Fe 0.8772 0.3743 0.3743
Te 0.7500 0.7500 0.7500

Output
Formation energy (no corrections) in meV per atom: 130
Symmetry: F-43m

=====

Record 2
Density functional theory data (meta-GGA SCAN) for a crystal of AlFeTe relaxed with PBEsol.

a b c (Å): 6.1588 6.1588 6.1588
angles (deg): 151.49 151.49 40.76
Positions (direct):
Al 0.0000 0.0000 0.0000
Fe 0.6207 0.6207 0.0000
Te 0.2516 0.2516 0.0000

Output
Formation energy (no corrections) in meV per atom: 247
Offset from the most stable computed form in eV/f.u.: 0.00
Symmetry: I4mm

=====

Record 3
Density functional theory data (meta-GGA SCAN) for a crystal of AlFe3Te relaxed with PBEsol.

a b c (Å): 4.6161 4.6161 4.6161
angles (deg): 90.00 90.00 90.00
Positions (direct):
Al 0.0000 0.0000 0.0000
Fe 0.0000 0.5000 0.5000
Fe 0.5000 0.0000 0.5000
Fe 0.5000 0.5000 0.0000
Te 0.5000 0.5000 0.5000

Output
Formation energy (no corrections) in meV per atom: 1168
Symmetry: Pm-3m

=====

Record 4
Density functional theory data (meta-GGA SCAN) for a crystal of Al4FeTe relaxed with PBEsol.

a b c (Å): 5.2935 5.2935 5.2935
angles (deg): 60.00 60.00 60.00
Positions (direct):
Al 0.1238 0.1238 0.1238
Al 0.1238 0.1238 0.6287
Al 0.1238 0.6287 0.1238
Al 0.6287 0.1238 0.1238
Fe 0.7500 0.7500 0.7500
Te 0.5000 0.5000 0.5000

Output
Formation energy (no corrections) in meV per atom: 316
Symmetry: F-43m

=====

Record 5
Density functional theory data (meta-GGA SCAN) for a crystal of AlFeTe relaxed with PBEsol.

a b c (Å): 4.3681 4.3681 4.3681
angles (deg): 60.00 60.00 60.00
Positions (direct):
Al 0.0000 0.0000 0.0000
Fe 0.7500 0.7500 0.7500
Te 0.2500 0.2500 0.2500

Output
Formation energy (no corrections) in meV per atom: 476
Offset from the most stable computed form in eV/f.u.: 0.69
Symmetry: F-43m

=====

Record 6
Density functional theory data (meta-GGA SCAN) for a crystal of Zr2TiAlFe relaxed with PBEsol.

a b c (Å): 4.6528 4.6528 4.5264
angles (deg): 90.00 90.00 90.00
Positions (direct):
Zr 0.0000 0.5000 0.0000
Zr 0.5000 0.0000 0.0000
Ti 0.0000 0.0000 0.5000
Al 0.5000 0.5000 0.5000
Fe 0.5000 0.5000 0.0000

Output
Energy relative to the elements in eV per formula unit: 1.19
Symmetry: P4/mmm

=====

Across the entries above, E takes the values -19.46, -20.80, -18.71, -14.08, -20.57, -20.42 eV/atom, respectively.